Entry 1:
{"formula": "Mg4ZnSe8", "functional": "PBE", "state": "relaxed", "cell": [[-6.852, 6.852, 2.044], [6.852, -6.852, 2.044], [6.852, 6.852, -2.044]], "species": ["Mg", "Mg", "Mg", "Mg", "Zn", "Se", "Se", "Se", "Se", "Se", "Se", "Se", "Se"], "frac_coords": [[0.082, 0.672, 0.755], [0.328, 0.082, 0.410], [0.672, 0.918, 0.590], [0.918, 0.328, 0.245], [0.500, 0.500, 0.000], [0.193, 0.238, 0.432], [0.202, 0.526, 0.728], [0.238, 0.807, 0.045], [0.474, 0.202, 0.676], [0.526, 0.798, 0.324], [0.762, 0.193, 0.955], [0.798, 0.474, 0.272], [0.807, 0.762, 0.568]], "density_g_cm3": 3.44, "magmom_total_mub_per_atom": 0.00, "dos_at_fermi_per_ev_cell": 2.28, "e_tot_ha_per_atom": -0.1182, "vol_a3_per_atom": 29.53}



Entry 2:
{"formula": "MgZn2Se", "functional": "PBE", "state": "relaxed", "cell": [[-2.181, 2.181, 8.000], [2.181, -2.181, 8.000], [2.181, 2.181, -8.000]], "species": ["Mg", "Mg", "Zn", "Zn", "Zn", "Zn", "Se", "Se"], "frac_coords": [[0.138, 0.138, 0.000], [0.862, 0.862, 0.000], [0.000, 0.500, 0.500], [0.408, 0.408, 0.000], [0.500, 0.000, 0.500], [0.592, 0.592, 0.000], [0.250, 0.750, 0.500], [0.750, 0.250, 0.500]], "density_g_cm3": 5.11, "magmom_total_mub_per_atom": 0.00, "dos_at_fermi_per_ev_cell": 2.20, "e_tot_ha_per_atom": -0.0740, "vol_a3_per_atom": 19.04}



Entry 3:
{"formula": "MgZnSe", "functional": "PBE", "state": "relaxed", "cell": [[6.333, 0.000, 0.000], [0.000, 3.721, 0.000], [0.000, 0.000, 5.686]], "species": ["Mg", "Mg", "Zn", "Zn", "Se", "Se"], "frac_coords": [[0.000, 0.000, 0.000], [0.500, 0.000, 0.000], [0.250, 0.000, 0.425], [0.750, 0.000, 0.575], [0.250, 0.500, 0.782], [0.750, 0.500, 0.218]], "density_g_cm3": 4.18, "magmom_total_mub_per_atom": 0.00, "dos_at_fermi_per_ev_cell": 1.37, "e_tot_ha_per_atom": -0.0952, "vol_a3_per_atom": 22.33}



Entry 4:
{"formula": "Mg2ZnSe", "functional": "PBE", "state": "relaxed", "cell": [[4.261, 0.000, 0.000], [0.000, 4.261, 0.000], [0.000, 0.000, 11.930]], "species": ["Mg", "Mg", "Mg", "Mg", "Zn", "Zn", "Se", "Se"], "frac_coords": [[0.250, 0.250, 0.115], [0.250, 0.750, 0.500], [0.750, 0.250, 0.500], [0.750, 0.750, 0.885], [0.250, 0.250, 0.884], [0.750, 0.750, 0.116], [0.250, 0.250, 0.375], [0.750, 0.750, 0.625]], "density_g_cm3": 2.96, "magmom_total_mub_per_atom": 0.00, "dos_at_fermi_per_ev_cell": 3.03, "e_tot_ha_per_atom": -0.0841, "vol_a3_per_atom": 27.08}



Entry 5:
{"formula": "MgZn3Se3", "functional": "PBE", "state": "relaxed", "cell": [[8.983, 0.000, 0.000], [0.000, 3.907, 0.000], [-3.761, 0.000, 9.500]], "species": ["Mg", "Mg", "Zn", "Zn", "Zn", "Zn", "Zn", "Zn", "Se", "Se", "Se", "Se", "Se", "Se"], "frac_coords": [[0.134, 0.250, 0.145], [0.866, 0.750, 0.855], [0.099, 0.250, 0.635], [0.384, 0.750, 0.995], [0.442, 0.750, 0.780], [0.558, 0.250, 0.220], [0.616, 0.250, 0.005], [0.901, 0.750, 0.365], [0.074, 0.250, 0.867], [0.206, 0.750, 0.554], [0.369, 0.750, 0.234], [0.631, 0.250, 0.766], [0.794, 0.250, 0.446], [0.926, 0.750, 0.133]], "density_g_cm3": 4.56, "magmom_total_mub_per_atom": 0.00, "e_tot_ha_per_atom": -0.1046, "vol_a3_per_atom": 23.82}



Entry 6:
{"formula": "Mg2ZnSe", "functional": "PBE", "state": "relaxed", "cell": [[3.729, 0.000, 0.000], [0.000, 4.321, 0.000], [0.000, 0.000, 4.993]], "species": ["Mg", "Mg", "Zn", "Se"], "frac_coords": [[0.000, 0.000, 0.000], [0.000, 0.500, 0.500], [0.500, 0.000, 0.500], [0.500, 0.500, 0.000]], "density_g_cm3": 3.98, "magmom_total_mub_per_atom": 0.00, "dos_at_fermi_per_ev_cell": 0.81, "e_tot_ha_per_atom": -0.0840, "vol_a3_per_atom": 20.12}



Entry 7:
{"formula": "MgZn2Se4", "functional": "PBE", "state": "relaxed", "cell": [[1.933, 1.116, 12.738], [-1.933, 1.116, 12.738], [0.000, -2.232, 12.738]], "species": ["Mg", "Zn", "Zn", "Se", "Se", "Se", "Se"], "frac_coords": [[0.000, 0.000, 0.000], [0.254, 0.254, 0.254], [0.746, 0.746, 0.746], [0.192, 0.192, 0.192], [0.376, 0.376, 0.376], [0.624, 0.624, 0.624], [0.808, 0.808, 0.808]], "density_g_cm3": 4.74, "magmom_total_mub_per_atom": 0.00, "dos_at_fermi_per_ev_cell": 3.43, "e_tot_ha_per_atom": -0.1074, "vol_a3_per_atom": 23.56}



Entry 8:
{"formula": "MgZn2Se", "functional": "PBE", "state": "relaxed", "cell": [[4.457, 0.000, 0.000], [-2.228, 3.860, 0.000], [0.000, 0.000, 10.500]], "species": ["Mg", "Mg", "Zn", "Zn", "Zn", "Zn", "Se", "Se"], "frac_coords": [[0.333, 0.667, 0.250], [0.667, 0.333, 0.750], [0.333, 0.667, 0.533], [0.333, 0.667, 0.967], [0.667, 0.333, 0.033], [0.667, 0.333, 0.467], [0.000, 0.000, 0.250], [0.000, 0.000, 0.750]], "density_g_cm3": 4.30, "magmom_total_mub_per_atom": 0.00, "dos_at_fermi_per_ev_cell": 1.93, "e_tot_ha_per_atom": -0.0776, "vol_a3_per_atom": 22.58}